The following is a DFT calculation (PBE) of a geometry-optimized Be2PRu2 structure.

a b c (Å): 5.978 5.978 3.065
angles (deg): 90.00 90.00 90.00
Positions (direct):
1 Be 0.123 0.377 0.000
2 Be 0.377 0.877 0.000
3 Be 0.623 0.123 0.000
4 Be 0.877 0.623 0.000
5 P 0.000 0.000 0.000
6 P 0.500 0.500 0.000
7 Ru 0.175 0.675 0.500
8 Ru 0.325 0.175 0.500
9 Ru 0.675 0.825 0.500
10 Ru 0.825 0.325 0.500

Results
Space group: No. 127
Offset from the most stable computed form, eV/atom: 0.1151
Energy of formation, meV per atom: -172
Raw total energy, eV per atom: -6.455